Entry 1:
DFT (PBE-GGA) results for crystalline ErTmPu2Bi4 at its relaxed geometry.

a = 4.500 Å, b = 7.817 Å, c = 7.745 Å
α = 109.45°, β = 90.00°, γ = 90.00°
Positions (direct):
Er: 0.000 0.000 0.000
Tm: 0.500 0.500 0.000
Pu: 0.500 0.000 0.500
Pu: 0.000 0.500 0.500
Bi: 0.500 0.249 0.244
Bi: 0.500 0.751 0.756
Bi: 0.000 0.252 0.757
Bi: 0.000 0.748 0.243

DOS at the Fermi energy   34.4 states/eV/f.u.
Theoretical density   10.73 g/cm³
ΔH_f (0 K)   -0.55 eV per atom
DFT total energy   -7.20 eV/atom
SG   P2/m (10)
Size of the total moment   0.00 Bohr magnetons per cell



Entry 2:
DFT (PBE-GGA) results for crystalline CeNdEu2 at its relaxed geometry.

a = 5.941 Å, b = 5.941 Å, c = 5.941 Å
α = 60.00°, β = 60.00°, γ = 60.00°
Positions (direct):
Eu: 0.250 0.250 0.250
Eu: 0.750 0.750 0.750
Nd: 0.500 0.500 0.500
Ce: 0.000 0.000 0.000

E above lowest polymorph   18.4 meV per atom
DOS at the Fermi energy   9.0 states/eV/f.u.
Theoretical density   6.59 g/cm³
ΔH_f (0 K)   0.22 eV per atom
DFT total energy   -7.60 eV/atom
SG   Fm-3m (225)
Size of the total moment   16.05 Bohr magnetons per cell